# Ta2Ni9Sn

A relaxed Ta2Ni9Sn crystal (GGA-PBE, Alexandria via LeMat-Bulk).

Computed properties:
E_form: -266 meV/atom

Cell lengths 3.6951, 3.6951, 11.1209 Å; angles 90.00, 90.00, 90.00 degrees
Atoms (fractional coordinates):
Ta 0.0000 0.0000 0.3321
Ta 0.0000 0.0000 0.6679
Ni 0.5000 0.5000 0.0000
Ni 0.5000 0.5000 0.3392
Ni 0.5000 0.5000 0.6608
Ni 0.5000 0.0000 0.1763
Ni 0.5000 0.0000 0.5000
Ni 0.5000 0.0000 0.8237
Ni 0.0000 0.5000 0.1763
Ni 0.0000 0.5000 0.5000
Ni 0.0000 0.5000 0.8237
Sn 0.0000 0.0000 0.0000